# 1
Entry from the Alexandria database: a relaxed SrCa2ScPd crystal (GGA-PBE).

Cell lengths 5.7252, 5.7252, 5.2613 Å; angles 90.00, 90.00, 90.00 degrees
Atoms (fractional coordinates):
Sc1 0.0000 0.0000 0.5000
Sr1 0.5000 0.5000 0.5000
Ca1 0.0000 0.5000 0.0000
Ca2 0.5000 0.0000 0.0000
Pd1 0.0000 0.0000 0.0000

Density of states at the Fermi level, states/eV/f.u.: 4.08
ΔH_f (0 K), meV per atom: -219

***

# 2
Entry from the Alexandria database: a relaxed HfPaCr4 crystal (GGA-PBE).

Cell lengths 5.0882, 5.0882, 5.0882 Å; angles 60.00, 60.00, 60.00 degrees
Atoms (fractional coordinates):
Cr1 0.6248 0.6248 0.1257
Cr2 0.6248 0.1257 0.6248
Cr3 0.6248 0.6248 0.6248
Cr4 0.1257 0.6248 0.6248
Pa1 0.2500 0.2500 0.2500
Hf1 0.0000 0.0000 0.0000

Density of states at the Fermi level, states/eV/f.u.: 8.51
ΔH_f (0 K), meV per atom: 109

***

# 3
Entry from the Alexandria database: a relaxed Hf2CdPb crystal (GGA-PBE).

Cell lengths 3.2231, 3.2231, 10.4161 Å; angles 81.10, 81.10, 60.00 degrees
Atoms (fractional coordinates):
Pb1 0.5000 0.5000 0.5000
Hf1 0.2510 0.2510 0.2469
Hf2 0.7490 0.7490 0.7531
Cd1 0.0000 0.0000 0.0000

Density of states at the Fermi level, states/eV/f.u.: 2.36
ΔH_f (0 K), meV per atom: 108
Distance to the lowest polymorph of the same formula, meV per atom: 77

***

# 4
Entry from the Alexandria database: a relaxed CoIr2Se crystal (GGA-PBE).

Cell lengths 4.6286, 4.6286, 4.6286 Å; angles 129.22, 129.22, 74.65 degrees
Each line ends with the local moment (μB).
Atoms (fractional coordinates):
Co1 0.7500 0.2500 0.5000  1.39
Ir1 0.0000 0.0000 0.0000  0.18
Ir2 0.2500 0.7500 0.5000  0.08
Se1 0.5000 0.5000 0.0000  0.01

Density of states at the Fermi level, states/eV/f.u.: 5.04
Energy relative to the elements, uncorrected, meV per atom: 503

***

# 5
Entry from the Alexandria database: a relaxed U2PPd crystal (GGA-PBE).

Cell lengths 3.2155, 3.2155, 9.3171 Å; angles 80.06, 80.06, 60.00 degrees
Each line ends with the local moment (μB).
Atoms (fractional coordinates):
P1 0.5000 0.5000 0.5000  -0.03
U1 0.0969 0.0969 0.7094  0.82
U2 0.9031 0.9031 0.2906  0.82
Pd1 0.0000 0.0000 0.0000  -0.03

Density of states at the Fermi level, states/eV/f.u.: 9.07
ΔH_f (0 K), meV per atom: -54

***

# 6
Entry from the Alexandria database: a relaxed Tl2NiCl crystal (GGA-PBE).

Cell lengths 3.4086, 3.4086, 7.6507 Å; angles 90.00, 90.00, 89.97 degrees
Atoms (fractional coordinates):
Cl1 0.5000 0.5000 0.2500
Ni1 0.5000 0.5000 0.7500
Tl1 0.0000 0.0000 0.9595
Tl2 0.0000 0.0000 0.5405

Density of states at the Fermi level, states/eV/f.u.: 2.62
Energy relative to the elements, uncorrected, meV per atom: -5
Distance to the lowest polymorph of the same formula, meV per atom: 121

***

# 7
Entry from the Alexandria database: a relaxed NdCr2C3 crystal (GGA-PBE).

Cell lengths 4.9039, 6.5840, 5.8275 Å; angles 124.40, 90.00, 90.00 degrees
Atoms (fractional coordinates):
Nd1 0.7500 0.2934 0.5868
Nd2 0.2500 0.7066 0.4132
Cr1 0.5000 0.1880 0.0000
Cr2 0.5000 0.8120 0.0000
Cr3 0.0000 0.8120 0.0000
Cr4 0.0000 0.1880 0.0000
C1 0.2500 0.5298 0.8419
C2 0.7500 0.4702 0.1581
C3 0.7500 0.6880 0.1581
C4 0.2500 0.3120 0.8419
C5 0.2500 0.0906 0.1813
C6 0.7500 0.9094 0.8187

Density of states at the Fermi level, states/eV/f.u.: 4.08
ΔH_f (0 K), meV per atom: 56

***

# 8
Entry from the Alexandria database: a relaxed In4BiPb2 crystal (GGA-PBE).

Cell lengths 5.9076, 5.9076, 8.8382 Å; angles 109.52, 109.52, 90.00 degrees
Atoms (fractional coordinates):
In1 0.8016 0.8016 0.6031
In2 0.1984 0.1984 0.3969
In3 0.0000 0.5000 0.0000
In4 0.5000 0.0000 0.0000
Bi1 0.0000 0.0000 0.0000
Pb1 0.6037 0.6037 0.2074
Pb2 0.3963 0.3963 0.7926

Density of states at the Fermi level, states/eV/f.u.: 5.68
ΔH_f (0 K), meV per atom: 348
Distance to the lowest polymorph of the same formula, meV per atom: 319